(1)
A relaxed structure of Dy3Y4. Source: the Alexandria database, functional GGA-PBE.

abc: 3.5534 5.0362 24.9300
angles: 90.00 90.00 90.00
Space group Immm (No. 71)
Symmetry-distinct sites (fractional):
Dy: 0.0000 0.0000 0.0000 x2
Dy: 0.0000 0.0000 0.1426 x4
Y: 0.0000 0.0000 0.2859 x4
Y: 0.0000 0.0000 0.4286 x4

Output
Mass density, g/cm3: 6.28
Magnetization, μB/f.u.: 0.0
Density of states at the Fermi level, states/eV/cell: 18.3
ΔE_f, meV per atom: 22
Total energy, eV/atom: -5.644


(2)
A relaxed structure of Dy7Y6. Source: the Alexandria database, functional GGA-PBE.

abc: 6.5313 6.5313 35.0442
angles: 90.00 90.00 120.00
Space group R-3m (No. 166, hexagonal axes)
Symmetry-distinct sites (fractional):
Dy: 0.0000 0.0000 0.0000 x3
Dy: 0.0046 0.5023 0.4112 x18
Y: 0.0000 0.0000 0.1666 x6
Y: 0.0000 0.0000 0.3521 x6
Y: 0.0000 0.0000 0.4538 x6

Output
Mass density, g/cm3: 6.43
Magnetization, μB/f.u.: 3.8
Density of states at the Fermi level, states/eV/cell: 85.3
ΔE_f, meV per atom: 234
Total energy, eV/atom: -5.227


(3)
A relaxed structure of Dy5Y4. Source: the Alexandria database, functional GGA-PBE.

abc: 9.7205 9.7205 7.0197
angles: 90.00 90.00 120.00
Space group P6_3/mcm (No. 193)
Symmetry-distinct sites (fractional):
Dy: 0.0000 0.3097 0.2500 x6
Dy: 0.3333 0.6667 0.0000 x4
Y: 0.0000 0.0000 0.0000 x2
Y: 0.0000 0.3560 0.7500 x6

Output
Mass density, g/cm3: 6.75
Magnetization, μB/f.u.: 0.0
Density of states at the Fermi level, states/eV/cell: 27.6
ΔE_f, meV per atom: 60
Total energy, eV/atom: -5.369


(4)
A relaxed structure of Dy7Y2. Source: the Alexandria database, functional GGA-PBE.

abc: 9.6771 9.6771 3.5349
angles: 90.00 90.00 120.00
Space group P-62m (No. 189)
Symmetry-distinct sites (fractional):
Dy: 0.0000 0.0000 0.0000 x1
Dy: 0.0000 0.3029 0.5000 x3
Dy: 0.0000 0.6391 0.0000 x3
Y: 0.3333 0.6667 0.5000 x2

Output
Mass density, g/cm3: 7.62
Magnetization, μB/f.u.: 0.8
Density of states at the Fermi level, states/eV/cell: 17.1
ΔE_f, meV per atom: 43
Total energy, eV/atom: -4.973


(5)
A relaxed structure of DyY3. Source: the Alexandria database, functional GGA-PBE.

abc: 3.6450 5.6466 6.3137
angles: 90.00 90.00 90.00
Space group Pmm2 (No. 25)
Symmetry-distinct sites (fractional):
Dy: 0.0000 0.0000 0.0000 x1
Y: 0.0000 0.5000 0.3327 x1
Y: 0.5000 0.0000 0.5000 x1
Y: 0.5000 0.5000 0.8342 x1

Output
Mass density, g/cm3: 5.48
Magnetization, μB/f.u.: 0.0
Density of states at the Fermi level, states/eV/cell: 7.0
ΔE_f, meV per atom: 1
Total energy, eV/atom: -5.998


(6)
A relaxed structure of Dy5Y7. Source: the Alexandria database, functional GGA-PBE.

abc: 9.7119 5.6454 14.6779
angles: 90.00 102.90 90.00
Space group C2/m (No. 12)
Symmetry-distinct sites (fractional):
Dy: 0.0000 0.0000 0.0000 x2
Dy: 0.1057 0.5000 0.8056 x4
Dy: 0.1453 0.0000 0.4395 x4
Y: 0.0000 0.5000 0.5000 x2
Y: 0.0662 0.0000 0.2130 x4
Y: 0.1911 0.5000 0.0779 x4
Y: 0.2272 0.0000 0.6722 x4

Output
Mass density, g/cm3: 6.07
Magnetization, μB/f.u.: 0.0
Density of states at the Fermi level, states/eV/cell: 43.1
ΔE_f, meV per atom: 194
Total energy, eV/atom: -5.494


(7)
A relaxed structure of Dy7Y3. Source: the Alexandria database, functional GGA-PBE.

abc: 10.9253 10.9253 6.2561
angles: 90.00 90.00 120.00
Space group P6_3mc (No. 186)
Symmetry-distinct sites (fractional):
Dy: 0.0580 0.5290 0.0000 x6
Dy: 0.1176 0.2353 0.1400 x6
Dy: 0.3333 0.6667 0.2535 x2
Y: 0.2133 0.4267 0.6299 x6

Output
Mass density, g/cm3: 7.21
Magnetization, μB/f.u.: 1.6
Density of states at the Fermi level, states/eV/cell: 35.7
ΔE_f, meV per atom: 203
Total energy, eV/atom: -4.957


(8)
A relaxed structure of Dy3Y7. Source: the Alexandria database, functional GGA-PBE.

abc: 18.1414 5.4562 7.0623
angles: 90.00 112.83 90.00
Space group C2/m (No. 12)
Symmetry-distinct sites (fractional):
Dy: 0.0000 0.0000 0.0000 x2
Dy: 0.1994 0.0000 0.6997 x4
Y: 0.0000 0.0000 0.5000 x2
Y: 0.1094 0.5000 0.3600 x4
Y: 0.1095 0.5000 0.8599 x4
Y: 0.2000 0.0000 0.2004 x4

Output
Mass density, g/cm3: 5.72
Magnetization, μB/f.u.: 0.0
Density of states at the Fermi level, states/eV/cell: 37.5
ΔE_f, meV per atom: 49
Total energy, eV/atom: -5.857


The lowest mass density belongs to which entry?
DyY3


The lowest density of states at the Fermi level belongs to which entry?
DyY3


Which formula does entry 6 have?
Dy5Y7